[1]
LaPt2 | PBE | relaxed

abc: 3.7417 3.7594 9.1828
angles: 90.00 90.00 90.00
Closest atoms and distances in Å follow each position.
Space group Immm (No. 71)
Inequivalent atoms, fractional coordinates:
1 La 0.0000 0.0000 0.0000 (multiplicity 2)  10 Pt 3.02-3.08
2 Pt 0.0000 0.0000 0.3289 (multiplicity 4)  5 La 3.02-3.08, 5 Pt 3.02-3.14

**Crystal system**: orthorhombic
**Energy of formation**: -2.3 eV per formula unit
**Density of states at the Fermi level**: 2.4 states/eV/f.u.
**Total moment**: 0.000 μB/cell
**VASP energy**: -6.426 eV/atom

---

[2]
LaPt | PBE | relaxed

abc: 8.6861 8.6861 5.6768
angles: 90.00 90.00 90.00
Closest atoms and distances in Å follow each position.
Space group I4/m (No. 87)
Inequivalent atoms, fractional coordinates:
1 La 0.0784 0.2895 0.0000 (multiplicity 8)  4 Pt 2.89-3.10
2 Pt 0.0651 0.2272 0.5000 (multiplicity 8)  4 La 2.89-3.10, 2 Pt 2.90

**Crystal system**: tetragonal
**Energy of formation**: -1.9 eV per formula unit
**Density of states at the Fermi level**: 1.6 states/eV/f.u.
**Total moment**: 0.000 μB/cell
**VASP energy**: -6.439 eV/atom

---

[3]
La3Pt | PBE | relaxed

abc: 13.9381 12.4813 6.2166
angles: 90.00 116.38 90.00
Closest atoms and distances in Å follow each position.
Space group C2 (No. 5)
Inequivalent atoms, fractional coordinates:
1 La 0.0000 0.0000 0.0000 (multiplicity 2)  4 Pt 3.03-3.17
2 La 0.0000 0.2900 0.0000 (multiplicity 2)  4 Pt 3.04-3.17
3 La 0.0953 0.5506 0.3515 (multiplicity 4)  2 Pt 3.25-3.26, 3 La 3.35-3.56
4 La 0.0946 0.7399 0.8376 (multiplicity 4)  2 Pt 3.25, 3 La 3.35-3.56
5 La 0.1452 0.1451 0.6456 (multiplicity 4)  4 Pt 3.03-3.17
6 La 0.2043 0.8491 0.4945 (multiplicity 4)  2 Pt 3.13, 3 La 3.41-3.50
7 La 0.2047 0.4411 0.9148 (multiplicity 4)  2 Pt 3.12-3.14, 1 La 3.42
8 Pt 0.0000 0.3402 0.5000 (multiplicity 2)  8 La 3.04-3.26
9 Pt 0.0000 0.9502 0.5000 (multiplicity 2)  8 La 3.03-3.25
10 Pt 0.1952 0.1446 0.1953 (multiplicity 4)  8 La 3.03-3.25

**Crystal system**: monoclinic
**Energy of formation**: -2.3 eV per formula unit
**Density of states at the Fermi level**: 5.8 states/eV/f.u.
**Total moment**: 0.000 μB/cell
**VASP energy**: -5.792 eV/atom

---

[4]
La5Pt3 | PBE | relaxed

abc: 8.6686 8.6686 6.8859
angles: 90.00 90.00 120.00
Closest atoms and distances in Å follow each position.
Space group P6_3/mcm (No. 193)
Inequivalent atoms, fractional coordinates:
1 La 0.0000 0.2485 0.2500 (multiplicity 6)  3 Pt 2.96-3.14
2 La 0.3333 0.6667 0.0000 (multiplicity 4)  6 Pt 3.19, 2 La 3.44
3 Pt 0.0000 0.3892 0.7500 (multiplicity 6)  7 La 2.96-3.19

**Crystal system**: hexagonal
**Energy of formation**: -7.3 eV per formula unit
**Density of states at the Fermi level**: 6.6 states/eV/f.u.
**Offset from the most stable computed form**: 0.027 eV per atom
**Total moment**: 0.000 μB/cell
**VASP energy**: -6.258 eV/atom

---

[5]
LaPt2 | PBE | relaxed

abc: 6.7642 6.7642 6.7642
angles: 90.00 90.00 90.00
Closest atoms and distances in Å follow each position.
Space group Fm-3m (No. 225)
Inequivalent atoms, fractional coordinates:
1 La 0.0000 0.0000 0.0000 (multiplicity 4)  8 Pt 2.93
2 Pt 0.2500 0.2500 0.2500 (multiplicity 8)  4 La 2.93

**Crystal system**: cubic
**Energy of formation**: -1.2 eV per formula unit
**Density of states at the Fermi level**: 2.8 states/eV/f.u.
**Total moment**: 0.000 μB/cell
**VASP energy**: -6.077 eV/atom

---

[6]
La5Pt3 | PBE | relaxed

abc: 6.8633 8.4557 8.4718
angles: 82.61 74.66 74.56
Closest atoms and distances in Å follow each position.
Space group P-1 (No. 2)
Inequivalent atoms, fractional coordinates:
1 La 0.0272 0.1978 0.1181 (multiplicity 2)  5 Pt 3.04-3.28
2 La 0.0923 0.3871 0.7066 (multiplicity 2)  4 Pt 2.97-3.31
3 La 0.2494 0.0155 0.4845 (multiplicity 2)  4 Pt 2.93-3.20
4 La 0.4076 0.7948 0.1120 (multiplicity 2)  4 Pt 2.97-3.32
5 La 0.4709 0.3822 0.3026 (multiplicity 2)  5 Pt 3.05-3.27
6 Pt 0.1581 0.6928 0.5058 (multiplicity 2)  7 La 2.93-3.27
7 Pt 0.2498 0.4943 0.0060 (multiplicity 2)  8 La 2.97-3.32
8 Pt 0.3418 0.9938 0.8070 (multiplicity 2)  7 La 2.94-3.28

**Crystal system**: triclinic
**Energy of formation**: -7.2 eV per formula unit
**Density of states at the Fermi level**: 8.8 states/eV/f.u.
**Offset from the most stable computed form**: 0.036 eV per atom
**Total moment**: 0.000 μB/cell
**VASP energy**: -6.249 eV/atom